(1)
First-principles (GGA-PBE) data for a geometry-optimized AlBrOF2 structure, as listed in the Alexandria database.

Output
- Raw formation energy: -1.760 eV/atom
- DOS at the Fermi energy: 0.2859 states/eV per atom
- Relative energy among the computed polymorphs: 0 meV per atom

Cell lengths 3.6608, 3.6608, 4.3772 Å; angles 90.00, 90.00, 90.00 degrees
Closest atoms and distances in Å follow each position.
Fractional coordinates of all 5 atoms:
Al: 0.0000 0.0000 0.0000  4 F 1.83
Br: 0.5000 0.5000 0.5000  4 O 2.59, 8 F 2.85
O: 0.0000 0.0000 0.5000  2 Al 2.19
F: 0.0000 0.5000 0.0000  2 Al 1.83
F: 0.5000 0.0000 0.0000  2 Al 1.83

---

(2)
First-principles (GGA-PBE) data for a geometry-optimized AlBrOF2 structure, as listed in the Alexandria database.

Output
- Raw formation energy: -0.231 eV/atom
- DOS at the Fermi energy: 0.5146 states/eV per atom
- Relative energy among the computed polymorphs: 1529 meV per atom

Cell lengths 4.6259, 4.6259, 3.9998 Å; angles 90.00, 90.00, 90.00 degrees
Closest atoms and distances in Å follow each position.
Fractional coordinates of all 5 atoms:
Al: 0.0000 0.0000 0.0000  8 F 3.06, 4 O 3.27
Br: 0.5000 0.5000 0.5000  2 O 2.00
O: 0.5000 0.5000 0.0000  2 Br 2.00
F: 0.0000 0.5000 0.5000  2 Br 2.31
F: 0.5000 0.0000 0.5000  2 Br 2.31

---

(3)
First-principles (GGA-PBE) data for a geometry-optimized AlPdBr2F structure, as listed in the Alexandria database.

Output
- Raw formation energy: -0.198 eV/atom
- DOS at the Fermi energy: 0.8526 states/eV per atom

Cell lengths 5.0361, 5.0361, 4.9694 Å; angles 90.00, 90.00, 90.00 degrees
Closest atoms and distances in Å follow each position.
Fractional coordinates of all 5 atoms:
Al: 0.0000 0.0000 0.0000  2 Pd 2.48
Pd: 0.0000 0.0000 0.5000  2 Al 2.48, 4 Br 2.52
Br: 0.0000 0.5000 0.5000  2 Pd 2.52
Br: 0.5000 0.0000 0.5000  2 Pd 2.52
F: 0.5000 0.5000 0.0000  8 Br 3.54, 4 Al 3.56

---

(4)
First-principles (GGA-PBE) data for a geometry-optimized ScAl2BrF structure, as listed in the Alexandria database.

Output
- Raw formation energy: -0.616 eV/atom
- DOS at the Fermi energy: 0.7613 states/eV per atom

Cell lengths 5.8014, 5.8014, 4.0128 Å; angles 90.00, 90.00, 90.00 degrees
Closest atoms and distances in Å follow each position.
Fractional coordinates of all 5 atoms:
Sc: 0.0000 0.0000 0.0000  2 F 2.01
Al: 0.0000 0.5000 0.0000  2 Sc 2.90
Al: 0.5000 0.0000 0.0000  2 Sc 2.90
Br: 0.5000 0.5000 0.5000  8 Al 3.53
F: 0.0000 0.0000 0.5000  2 Sc 2.01

---

(5)
First-principles (GGA-PBE) data for a geometry-optimized AlSeBr2F structure, as listed in the Alexandria database.

Output
- Raw formation energy: -0.276 eV/atom
- DOS at the Fermi energy: 1.0280 states/eV per atom
- Relative energy among the computed polymorphs: 0 meV per atom

Cell lengths 4.9286, 4.9286, 5.1289 Å; angles 90.00, 90.00, 90.00 degrees
Closest atoms and distances in Å follow each position.
Fractional coordinates of all 5 atoms:
Al: 0.0000 0.0000 0.0000  4 Br 2.46, 2 Se 2.56
Se: 0.0000 0.0000 0.5000  2 Al 2.56
Br: 0.0000 0.5000 0.0000  2 Al 2.46
Br: 0.5000 0.0000 0.0000  2 Al 2.46
F: 0.5000 0.5000 0.5000  4 Se 3.49, 8 Br 3.56

---

(6)
First-principles (GGA-PBE) data for a geometry-optimized AlSeBr2F structure, as listed in the Alexandria database.

Output
- Raw formation energy: 0.045 eV/atom
- DOS at the Fermi energy: 0.7255 states/eV per atom
- Relative energy among the computed polymorphs: 322 meV per atom

Cell lengths 5.7932, 5.7932, 3.9066 Å; angles 90.00, 90.00, 90.00 degrees
Closest atoms and distances in Å follow each position.
Fractional coordinates of all 5 atoms:
Al: 0.0000 0.0000 0.0000  8 Br 3.49, 2 Al 3.91
Se: 0.5000 0.5000 0.0000  2 F 1.95
Br: 0.0000 0.5000 0.5000  2 F 2.90
Br: 0.5000 0.0000 0.5000  2 F 2.90
F: 0.5000 0.5000 0.5000  2 Se 1.95

---

(7)
First-principles (GGA-PBE) data for a geometry-optimized Al2SiBrF structure, as listed in the Alexandria database.

Output
- Raw formation energy: 0.075 eV/atom
- DOS at the Fermi energy: 0.5992 states/eV per atom

Cell lengths 5.4529, 5.4529, 3.8932 Å; angles 90.00, 90.00, 90.00 degrees
Closest atoms and distances in Å follow each position.
Fractional coordinates of all 5 atoms:
Al: 0.0000 0.5000 0.0000  2 F 2.73
Al: 0.5000 0.0000 0.0000  2 F 2.73
Si: 0.0000 0.0000 0.5000  2 F 1.95
Br: 0.5000 0.5000 0.5000  8 Al 3.35
F: 0.0000 0.0000 0.0000  2 Si 1.95

---

(8)
First-principles (GGA-PBE) data for a geometry-optimized SrAlBrF4 structure, as listed in the Alexandria database.

Output
- Raw formation energy: -3.268 eV/atom
- DOS at the Fermi energy: 0.0000 states/eV per atom

Cell lengths 6.5850, 6.5850, 7.3922 Å; angles 103.21, 103.21, 70.74 degrees
Closest atoms and distances in Å follow each position.
Fractional coordinates of all 14 atoms:
Sr: 0.2203 0.2203 0.1464  4 F 2.51-2.53
Sr: 0.7797 0.7797 0.8536  4 F 2.51-2.53
Al: 0.3721 0.3721 0.7398  4 F 1.70-1.72
Al: 0.6279 0.6279 0.2602  4 F 1.70-1.72
Br: 0.0325 0.0325 0.7548  2 Sr 3.00-3.03, 2 F 3.27
Br: 0.9675 0.9675 0.2452  2 Sr 3.00-3.03, 2 F 3.27
F: 0.1442 0.4979 0.8436  1 Al 1.72
F: 0.3110 0.3110 0.5019  1 Al 1.70
F: 0.4629 0.4629 0.2024  1 Al 1.70
F: 0.4979 0.1442 0.8436  1 Al 1.72
F: 0.5021 0.8558 0.1564  1 Al 1.72
F: 0.5371 0.5371 0.7976  1 Al 1.70
F: 0.6890 0.6890 0.4981  1 Al 1.70
F: 0.8558 0.5021 0.1564  1 Al 1.72

---

(9)
First-principles (GGA-PBE) data for a geometry-optimized AlTlBrF6 structure, as listed in the Alexandria database.

Output
- Raw formation energy: -2.159 eV/atom
- DOS at the Fermi energy: 0.6815 states/eV per atom

Cell lengths 5.5564, 5.5564, 6.9266 Å; angles 90.09, 90.09, 120.03 degrees
Closest atoms and distances in Å follow each position.
Fractional coordinates of all 9 atoms:
Al: 0.0000 0.0000 0.0000  6 F 1.84
Tl: 0.3332 0.6668 0.0000  6 F 2.22
Br: 0.6670 0.3330 0.5000  6 F 3.21-3.23
F: 0.0195 0.2827 0.8500  1 Al 1.84
F: 0.0207 0.7375 0.1500  1 Al 1.84
F: 0.2625 0.9793 0.8500  1 Al 1.84
F: 0.2638 0.2841 0.1500  1 Al 1.84
F: 0.7159 0.7362 0.8500  1 Al 1.84
F: 0.7173 0.9805 0.1500  1 Al 1.84

---

(10)
First-principles (GGA-PBE) data for a geometry-optimized YAl2BrF structure, as listed in the Alexandria database.

Output
- Raw formation energy: 0.253 eV/atom
- DOS at the Fermi energy: 1.2129 states/eV per atom

Cell lengths 5.3096, 5.3096, 5.4362 Å; angles 90.00, 90.00, 90.00 degrees
Closest atoms and distances in Å follow each position.
Fractional coordinates of all 5 atoms:
Y: 0.0000 0.0000 0.0000  2 Br 2.72
Al: 0.0000 0.5000 0.5000  2 Br 2.65
Al: 0.5000 0.0000 0.5000  2 Br 2.65
Br: 0.0000 0.0000 0.5000  4 Al 2.65, 2 Y 2.72
F: 0.5000 0.5000 0.0000  4 Y 3.75, 8 Al 3.80

---

(11)
First-principles (GGA-PBE) data for a geometry-optimized Al3FeBr structure, as listed in the Alexandria database.

Output
- Raw formation energy: 1.317 eV/atom
- DOS at the Fermi energy: 0.8726 states/eV per atom
- Relative energy among the computed polymorphs: 1197 meV per atom

Cell lengths 5.0412, 5.0412, 5.0412 Å; angles 90.00, 90.00, 90.00 degrees
Closest atoms and distances in Å follow each position.
Fractional coordinates of all 5 atoms:
Al: 0.0000 0.0000 0.5000  2 Br 2.52
Al: 0.0000 0.5000 0.0000  2 Br 2.52
Al: 0.5000 0.0000 0.0000  2 Br 2.52
Fe: 0.5000 0.5000 0.5000  12 Al 3.56
Br: 0.0000 0.0000 0.0000  6 Al 2.52

---

(12)
First-principles (GGA-PBE) data for a geometry-optimized Al3FeBr structure, as listed in the Alexandria database.

Output
- Raw formation energy: 0.120 eV/atom
- DOS at the Fermi energy: 0.6068 states/eV per atom
- Relative energy among the computed polymorphs: 0 meV per atom

Cell lengths 4.6521, 4.6521, 4.6521 Å; angles 90.00, 90.00, 90.00 degrees
Closest atoms and distances in Å follow each position.
Fractional coordinates of all 5 atoms:
Al: 0.0000 0.0000 0.5000  2 Fe 2.33
Al: 0.0000 0.5000 0.0000  2 Fe 2.33
Al: 0.5000 0.0000 0.0000  2 Fe 2.33
Fe: 0.0000 0.0000 0.0000  6 Al 2.33
Br: 0.5000 0.5000 0.5000  12 Al 3.29